{"formula": "CaCdCo2", "functional": "GGA-PBE", "state": "optimized geometry", "lattice_angstrom": [[-0.2051, 1.7348, -3.3615], [0.6902, -3.6218, -1.9113], [-4.4483, -2.6510, -1.0968]], "species": ["Co", "Co", "Cd", "Ca"], "fractional_positions": [[0.5000, 0.0712, 0.2325], [0.0000, 0.1835, 0.0080], [0.5000, 0.7703, 0.8344], [0.0000, 0.4750, 0.4250]], "formation_energy_ev_per_atom": 0.22, "space_group": "Amm2, No. 38", "crystal_system": "orthorhombic"}

***

{"formula": "Tb2DyPt3", "functional": "GGA-PBE", "state": "optimized geometry", "lattice_angstrom": [[-2.7689, -0.4146, -2.9759], [4.2007, -1.2970, -3.7279], [-1.3162, -5.0648, 4.7353]], "species": ["Pt", "Pt", "Tb", "Tb", "Pt", "Dy"], "fractional_positions": [[0.0000, 0.0000, 0.0000], [0.3342, 0.3342, 0.6685], [0.6669, 0.1669, 0.3338], [0.3331, 0.8331, 0.6662], [0.6658, 0.6658, 0.3315], [0.0000, 0.5000, 0.0000]], "formation_energy_ev_per_atom": -1.13, "space_group": "Immm, No. 71", "crystal_system": "orthorhombic"}

***

{"formula": "PuTl2Zn2O6", "functional": "GGA-PBE", "state": "optimized geometry", "lattice_angstrom": [[6.1371, 0.0000, 0.0000], [3.0685, 5.3149, 0.0000], [3.0685, 1.7716, 5.7352]], "species": ["Pu", "O", "O", "O", "Tl", "Tl", "Zn", "Zn", "O", "O", "O"], "fractional_positions": [[0.0000, 0.0000, 0.0000], [0.7707, 0.7707, 0.2208], [0.2293, 0.2293, 0.7792], [0.2377, 0.7707, 0.2208], [0.2074, 0.2074, 0.3777], [0.7926, 0.7926, 0.6223], [0.6004, 0.6004, 0.1989], [0.3996, 0.3996, 0.8011], [0.2293, 0.7623, 0.7792], [0.7623, 0.2293, 0.7792], [0.7707, 0.2377, 0.2208]], "space_group": "R-3m, No. 166", "e_form_raw_mev_per_atom": -1524, "crystal_system": "trigonal"}

***

{"formula": "CaHo3Rh4", "functional": "GGA-PBE", "state": "optimized geometry", "lattice_angstrom": [[-1.8992, -3.5190, 2.7046], [5.3293, -3.9668, -1.4190], [4.6287, 3.4500, 7.7389]], "species": ["Rh", "Ho", "Ho", "Rh", "Ho", "Ca", "Rh", "Rh", "Ca", "Rh", "Rh", "Ho", "Rh", "Ho", "Ho", "Rh"], "fractional_positions": [[0.9996, 0.7578, 0.2500], [0.0000, 0.0000, 0.0000], [0.5003, 0.5000, 0.7500], [0.5000, 0.2422, 0.5000], [0.5003, 0.0000, 0.7500], [0.0000, 0.5000, 0.5000], [0.5000, 0.7578, 0.5000], [0.9996, 0.2422, 0.2500], [0.0000, 0.5000, 0.0000], [0.0004, 0.2422, 0.7500], [0.5000, 0.2422, 0.0000], [0.4997, 0.0000, 0.2500], [0.5000, 0.7578, 0.0000], [0.4997, 0.5000, 0.2500], [0.0000, 0.0000, 0.5000], [0.0004, 0.7578, 0.7500]], "formation_energy_ev_per_atom": -0.78, "space_group": "P4/mmm, No. 123", "crystal_system": "tetragonal"}

***

{"formula": "Nd2Sm3Er", "functional": "GGA-PBE", "state": "optimized geometry", "lattice_angstrom": [[11.7450, 0.0000, 0.0000], [0.0000, 6.2968, -0.2934], [0.0000, -2.8974, 5.5983]], "species": ["Sm", "Sm", "Nd", "Er", "Er", "Sm", "Sm", "Nd", "Sm", "Sm", "Nd", "Nd"], "fractional_positions": [[0.9697, 0.5003, 0.5003], [0.9696, 0.8352, 0.1652], [0.7196, 0.1664, 0.5009], [0.2196, 0.1670, 0.1670], [0.7196, 0.8330, 0.8330], [0.4696, 0.1648, 0.8348], [0.9696, 0.1652, 0.8352], [0.7196, 0.5009, 0.1664], [0.4696, 0.8348, 0.1648], [0.4697, 0.4997, 0.4997], [0.2196, 0.8336, 0.4991], [0.2196, 0.4991, 0.8336]], "formation_energy_ev_per_atom": 0.00, "space_group": "Cmcm, No. 63", "crystal_system": "orthorhombic"}

***

{"formula": "NpSiIr2", "functional": "GGA-PBE", "state": "optimized geometry", "lattice_angstrom": [[3.9236, 0.0000, 0.0000], [0.0000, 3.9236, 0.0000], [0.0000, 0.0000, 9.4108]], "species": ["Ir", "Np", "Np", "Si", "Ir", "Ir", "Ir", "Si"], "fractional_positions": [[0.5000, 0.5000, 0.5000], [0.0000, 0.5000, 0.7961], [0.5000, 0.0000, 0.2039], [0.0000, 0.5000, 0.3565], [0.5000, 0.0000, 0.8942], [0.0000, 0.0000, 0.5000], [0.0000, 0.5000, 0.1058], [0.5000, 0.0000, 0.6435]], "space_group": "P4/nmm, No. 129", "e_form_raw_mev_per_atom": -537, "crystal_system": "tetragonal"}

***

no.,total magnetic moment (μB per formula unit),mass density (g cm⁻³)
1,2.43,5.86
2,0.00,12.30
3,2.00,7.81
4,0.00,9.93
5,0.00,7.45
6,3.32,14.89